Below is a relaxed structure of ThNbCo4, with properties calculated at the GGA-PBE level.

a = 4.950 Å, b = 4.950 Å, c = 4.950 Å
α = 60.00°, β = 60.00°, γ = 60.00°
Sites, in units of the cell vectors:
Th1 0.250 0.250 0.250
Co1 0.626 0.123 0.626
Co2 0.626 0.626 0.626
Co3 0.626 0.626 0.123
Co4 0.123 0.626 0.626
Nb1 0.000 0.000 0.000

Computed properties:
ΔH_f (0 K) = -7 kJ/mol of atoms
symmetry = No. 216
density = 10.85 g/cm³
DOS(E_F) = 9.26 states/eV/f.u.


Below is a relaxed structure of Mg6Ag2Pt, with properties calculated at the GGA-PBE level.

a = 4.547 Å, b = 6.483 Å, c = 7.908 Å
α = 114.20°, β = 106.41°, γ = 90.00°
Sites, in units of the cell vectors:
Mg1 0.500 0.234 0.000
Mg2 0.841 0.599 0.680
Mg3 0.159 0.919 0.320
Mg4 0.500 0.766 0.000
Mg5 0.841 0.081 0.680
Mg6 0.159 0.401 0.320
Ag1 0.334 0.333 0.666
Ag2 0.666 0.667 0.334
Pt1 0.000 0.000 0.000

Computed properties:
ΔH_f (0 K) = -24 kJ/mol of atoms
symmetry = No. 12
density = 4.57 g/cm³
DOS(E_F) = 2.89 states/eV/f.u.


Below is a relaxed structure of BaTl2Se2, with properties calculated at the GGA-PBE level.

a = 4.612 Å, b = 4.612 Å, c = 10.092 Å
α = 76.79°, β = 76.79°, γ = 60.00°
Sites, in units of the cell vectors:
Ba1 0.000 0.000 0.000
Se1 0.600 0.600 0.199
Se2 0.400 0.400 0.801
Tl1 0.211 0.211 0.366
Tl2 0.789 0.789 0.634

Computed properties:
symmetry = No. 166
density = 6.52 g/cm³
DOS(E_F) = 0.00 states/eV/f.u.
raw formation energy = -1.06 eV/atom


Below is a relaxed structure of Ho5Hf3Al12, with properties calculated at the GGA-PBE level.

a = 14.385 Å, b = 14.385 Å, c = 14.385 Å
α = 109.47°, β = 109.47°, γ = 109.47°
Sites, in units of the cell vectors:
Hf1 0.875 0.125 0.250
Hf2 0.875 0.750 0.125
Hf3 0.250 0.125 0.375
Hf4 0.250 0.625 0.875
Hf5 0.125 0.875 0.750
Hf6 0.750 0.375 0.125
Hf7 0.125 0.250 0.875
Hf8 0.750 0.875 0.625
Hf9 0.625 0.375 0.750
Hf10 0.625 0.250 0.375
Hf11 0.375 0.750 0.625
Hf12 0.375 0.625 0.250
Ho1 0.250 0.375 0.625
Ho2 0.000 0.500 0.000
Ho3 0.125 0.750 0.375
Ho4 0.750 0.625 0.375
Ho5 0.875 0.250 0.625
Ho6 0.625 0.750 0.875
Ho7 0.875 0.625 0.750
Ho8 0.750 0.125 0.875
Ho9 0.625 0.875 0.250
Ho10 0.375 0.125 0.750
Ho11 0.375 0.250 0.125
Ho12 0.000 0.000 0.500
Ho13 0.500 0.000 0.500
Ho14 0.500 0.000 0.000
Ho15 0.125 0.375 0.250
Ho16 0.000 0.500 0.500
Ho17 0.250 0.875 0.125
Ho18 0.500 0.500 0.000
Ho19 0.000 0.000 0.000
Ho20 0.500 0.500 0.500
Al1 0.573 0.910 0.643
Al2 0.070 0.927 0.338
Al3 0.768 0.410 0.338
Al4 0.357 0.768 0.430
Al5 0.927 0.070 0.838
Al6 0.338 0.427 0.070
Al7 0.410 0.768 0.838
Al8 0.430 0.162 0.573
Al9 0.143 0.073 0.910
Al10 0.573 0.662 0.430
Al11 0.430 0.268 0.357
Al12 0.073 0.930 0.162
Al13 0.927 0.857 0.590
Al14 0.162 0.430 0.073
Al15 0.232 0.590 0.662
Al16 0.643 0.410 0.573
Al17 0.427 0.090 0.357
Al18 0.838 0.570 0.927
Al19 0.910 0.573 0.143
Al20 0.143 0.070 0.732
Al21 0.410 0.643 0.073
Al22 0.643 0.232 0.570
Al23 0.662 0.090 0.232
Al24 0.073 0.143 0.410
Al25 0.570 0.732 0.643
Al26 0.590 0.357 0.927
Al27 0.090 0.427 0.857
Al28 0.857 0.930 0.268
Al29 0.232 0.643 0.070
Al30 0.357 0.590 0.427
Al31 0.427 0.338 0.570
Al32 0.162 0.732 0.590
Al33 0.930 0.073 0.662
Al34 0.338 0.910 0.768
Al35 0.857 0.927 0.090
Al36 0.732 0.162 0.090
Al37 0.768 0.357 0.930
Al38 0.910 0.338 0.268
Al39 0.590 0.232 0.162
Al40 0.268 0.838 0.910
Al41 0.662 0.573 0.930
Al42 0.268 0.430 0.857
Al43 0.070 0.143 0.232
Al44 0.570 0.838 0.427
Al45 0.838 0.268 0.410
Al46 0.930 0.857 0.768
Al47 0.732 0.570 0.143
Al48 0.090 0.662 0.732

Computed properties:
ΔH_f (0 K) = 39 kJ/mol of atoms
symmetry = No. 230
density = 4.88 g/cm³
DOS(E_F) = 19.82 states/eV/f.u.


Below is a relaxed structure of Ho2BiS, with properties calculated at the GGA-PBE level.

a = 4.018 Å, b = 4.018 Å, c = 7.680 Å
α = 74.84°, β = 74.84°, γ = 60.00°
Sites, in units of the cell vectors:
Ho1 0.068 0.068 0.795
Ho2 0.264 0.264 0.208
S1 0.669 0.669 0.994
Bi1 0.499 0.499 0.503

Computed properties:
symmetry = No. 160
density = 9.26 g/cm³
DOS(E_F) = 2.61 states/eV/f.u.
raw formation energy = -1.29 eV/atom


Below is a relaxed structure of Na2ErTeS4, with properties calculated at the GGA-PBE level.

a = 7.897 Å, b = 7.897 Å, c = 7.925 Å
α = 117.14°, β = 117.14°, γ = 89.61°
Sites, in units of the cell vectors:
S1 0.785 0.772 0.024
S2 0.728 0.715 0.476
S3 0.213 0.731 0.955
S4 0.215 0.228 0.976
S5 0.769 0.287 0.545
S6 0.787 0.269 0.045
S7 0.272 0.285 0.524
S8 0.231 0.713 0.455
Na1 0.500 0.500 0.000
Na2 0.500 0.000 0.500
Na3 0.000 0.000 0.500
Na4 0.500 0.000 0.000
Te1 0.000 0.000 0.000
Te2 0.500 0.500 0.500
Er1 0.000 0.500 0.500
Er2 0.000 0.500 0.000

Computed properties:
symmetry = No. 15
density = 4.12 g/cm³
DOS(E_F) = 1.40 states/eV/f.u.
raw formation energy = -1.08 eV/atom


Below is a relaxed structure of CaThSn6, with properties calculated at the GGA-PBE level.

a = 4.736 Å, b = 4.736 Å, c = 9.615 Å
α = 90.00°, β = 90.00°, γ = 90.00°
Sites, in units of the cell vectors:
Sn1 0.500 0.000 0.248
Sn2 0.000 0.500 0.248
Sn3 0.000 0.500 0.752
Sn4 0.500 0.500 0.500
Sn5 0.500 0.500 0.000
Sn6 0.500 0.000 0.752
Th1 0.000 0.000 0.500
Ca1 0.000 0.000 0.000

Computed properties:
ΔH_f (0 K) = -39 kJ/mol of atoms
symmetry = No. 123
density = 7.58 g/cm³
DOS(E_F) = 4.96 states/eV/f.u.


Below is a relaxed structure of RbLaCu2, with properties calculated at the GGA-PBE level.

a = 5.320 Å, b = 5.320 Å, c = 5.320 Å
α = 60.00°, β = 60.00°, γ = 60.00°
Sites, in units of the cell vectors:
Cu1 0.250 0.250 0.250
Cu2 0.750 0.750 0.750
La1 0.500 0.500 0.500
Rb1 0.000 0.000 0.000

Computed properties:
ΔH_f (0 K) = 38 kJ/mol of atoms
symmetry = No. 225
density = 5.48 g/cm³
DOS(E_F) = 3.78 states/eV/f.u.